Version i
# ZnPbSeO PBE-GGA relaxed
data_ZnPbSeO
_symmetry_space_group_name_H-M 'P 4/n m m'
_symmetry_Int_Tables_number 129
_cell_length_a 4.059
_cell_length_b 4.059
_cell_length_c 11.312
_cell_angle_alpha 90.00
_cell_angle_beta 90.00
_cell_angle_gamma 90.00
loop_
_symmetry_equiv_pos_as_xyz
'x,y,z'
'-x,-y,-z'
'-y+1/2,x,z'
'y+1/2,-x,-z'
'-x+1/2,-y+1/2,z'
'x+1/2,y+1/2,-z'
'y,-x+1/2,z'
'-y,x+1/2,-z'
'x+1/2,-y,-z'
'-x+1/2,y,z'
'-y,-x,-z'
'y,x,z'
'-x,y+1/2,-z'
'x,-y+1/2,z'
'y+1/2,x+1/2,-z'
'-y+1/2,-x+1/2,z'
loop_
_atom_site_label
_atom_site_fract_x
_atom_site_fract_y
_atom_site_fract_z
Zn1 0.250 0.750 0.000
Pb1 0.250 0.250 0.395
Se1 0.250 0.250 0.866
O1 0.250 0.750 0.500
# Mass density ... 6.6 g/cm3

Version ii
# ZnPbSeO PBE-GGA relaxed
data_ZnPbSeO
_symmetry_space_group_name_H-M 'P 4/n m m'
_symmetry_Int_Tables_number 129
_cell_length_a 4.302
_cell_length_b 4.302
_cell_length_c 9.842
_cell_angle_alpha 90.00
_cell_angle_beta 90.00
_cell_angle_gamma 90.00
loop_
_symmetry_equiv_pos_as_xyz
'x,y,z'
'-x,-y,-z'
'-y+1/2,x,z'
'y+1/2,-x,-z'
'-x+1/2,-y+1/2,z'
'x+1/2,y+1/2,-z'
'y,-x+1/2,z'
'-y,x+1/2,-z'
'x+1/2,-y,-z'
'-x+1/2,y,z'
'-y,-x,-z'
'y,x,z'
'-x,y+1/2,-z'
'x,-y+1/2,z'
'y+1/2,x+1/2,-z'
'-y+1/2,-x+1/2,z'
loop_
_atom_site_label
_atom_site_fract_x
_atom_site_fract_y
_atom_site_fract_z
Zn1 0.250 0.250 0.015
Pb1 0.250 0.750 0.500
Se1 0.250 0.250 0.284
O1 0.250 0.750 0.000
# Mass density ... 6.7 g/cm3

Each structure's energy above the most stable one, in meV/atom: version i 0; version ii 476.

Version i
# TaSnPb2O6 PBE-GGA relaxed
data_TaSnPb2O6
_symmetry_space_group_name_H-M 'R -3'
_symmetry_Int_Tables_number 148
_symmetry_space_group_name_Hall '-R 3'
_cell_length_a 5.9170
_cell_length_b 5.9170
_cell_length_c 13.9274
_cell_angle_alpha 90.00
_cell_angle_beta 90.00
_cell_angle_gamma 120.00
loop_
_atom_site_label
_atom_site_fract_x
_atom_site_fract_y
_atom_site_fract_z
Ta1 0.0000 0.0000 0.0000
Sn1 0.0000 0.0000 0.5000
Pb1 0.0000 0.0000 0.2471
O1 0.0251 0.5882 0.7494
# Mass density ... 9.6 g/cm3
# Total magnetic moment ... 0.0 μB per formula unit

Version ii
# TaSnPb2O6 PBE-GGA relaxed
data_TaSnPb2O6
_symmetry_space_group_name_H-M 'I 4/m m m'
_symmetry_Int_Tables_number 139
_symmetry_space_group_name_Hall '-I 4 2'
_cell_length_a 5.781
_cell_length_b 5.781
_cell_length_c 8.192
_cell_angle_alpha 90.00
_cell_angle_beta 90.00
_cell_angle_gamma 90.00
loop_
_atom_site_label
_atom_site_fract_x
_atom_site_fract_y
_atom_site_fract_z
Ta1 0.000 0.000 0.000
Sn1 0.000 0.000 0.500
Pb1 0.000 0.500 0.250
O1 0.000 0.000 0.245
O2 0.245 0.245 0.000
# Mass density ... 9.8 g/cm3
# Total magnetic moment ... 0.0 μB per formula unit

Each structure's energy above the most stable one, in meV/atom: version i 0; version ii 45.